Entry 1:
VASP calculation (PBE-GGA) on a relaxed structure of MnV.

Unit cell a=9.4728 b=4.2741 c=4.7857 alpha=90.00 beta=90.00 gamma=90.00
With the nearest neighbours (Å) after each atom.
Positions (direct):
Mn: 0.0676 0.2500 0.5857  4 V 2.37-2.53, 4 Mn 2.50-2.62
Mn: 0.5676 0.2500 0.9143  4 V 2.37-2.53, 4 Mn 2.50-2.62
Mn: 0.9324 0.7500 0.4143  4 V 2.37-2.53, 4 Mn 2.50-2.62
Mn: 0.4324 0.7500 0.0857  4 V 2.37-2.53, 4 Mn 2.50-2.62
Mn: 0.8283 0.2500 0.2359  6 V 2.35-2.63, 2 Mn 2.50
Mn: 0.3283 0.2500 0.2641  6 V 2.35-2.63, 2 Mn 2.50
Mn: 0.1717 0.7500 0.7641  6 V 2.35-2.63, 2 Mn 2.50
Mn: 0.6717 0.7500 0.7359  6 V 2.35-2.63, 2 Mn 2.50
V: 0.0650 0.2500 0.0895  4 Mn 2.35-2.63, 4 V 2.57-2.61
V: 0.5650 0.2500 0.4105  4 Mn 2.35-2.63, 4 V 2.57-2.61
V: 0.9350 0.7500 0.9105  4 Mn 2.35-2.63, 4 V 2.57-2.61
V: 0.4350 0.7500 0.5895  4 Mn 2.35-2.63, 4 V 2.57-2.61
V: 0.8116 0.2500 0.7380  6 Mn 2.39-2.53, 2 V 2.57
V: 0.3116 0.2500 0.7620  6 Mn 2.39-2.53, 2 V 2.57
V: 0.1884 0.7500 0.2620  6 Mn 2.39-2.53, 2 V 2.57
V: 0.6884 0.7500 0.2380  6 Mn 2.39-2.53, 2 V 2.57

Uncorrected energy (eV/cell): -146.626
N(E_F) (states/eV per atom): 1.06
Formation energy from the elements (meV/atom): -20
Spin magnetization (Bohr magnetons per cell): 0.007
Crystal system: orthorhombic

Entry 2:
VASP calculation (PBE-GGA) on a relaxed structure of TaSbW3.

Unit cell a=4.8031 b=4.8031 c=4.8031 alpha=90.00 beta=90.00 gamma=90.00
With the nearest neighbours (Å) after each atom.
Positions (direct):
Sb: 0.0000 0.0000 0.0000  6 W 2.40
W: 0.0000 0.5000 0.0000  2 Sb 2.40
W: 0.0000 0.0000 0.5000  2 Sb 2.40
W: 0.5000 0.0000 0.0000  2 Sb 2.40
Ta: 0.5000 0.5000 0.5000  12 W 3.40

Uncorrected energy (eV/cell): -42.284
N(E_F) (states/eV per atom): 2.07
Spin magnetization (Bohr magnetons per cell): 0.002
Crystal system: cubic
Formation energy without anion corrections (eV/f.u.): 12.55